Entry 1:
DFT (PBE-GGA) results for a relaxed CsRbNaBr3 crystal.

For the final energy, the calculation gives -3.010 eV per atom. The value obtained for the total moment is 0.024 μB per atom.

Cell lengths 10.277, 4.992, 11.067 Å; angles 90.00, 99.52, 90.00 degrees
Sites, in units of the cell vectors:
Cs  0.175  0.250  0.194
Cs  0.825  0.750  0.806
Rb  0.350  0.750  0.843
Rb  0.650  0.250  0.157
Na  0.099  0.250  0.598
Na  0.901  0.750  0.402
Br  0.106  0.250  0.851
Br  0.177  0.750  0.509
Br  0.420  0.750  0.157
Br  0.580  0.250  0.843
Br  0.823  0.250  0.491
Br  0.894  0.750  0.149

=====

Entry 2:
DFT (PBE-GGA) results for a relaxed HfScTcPd crystal.

Its energy relative to the elements is -0.681 eV per atom. For the final energy, the calculation gives -8.642 eV per atom. The value obtained for the total moment is 0.000 μB per atom.

Cell lengths 3.303, 3.303, 6.487 Å; angles 90.00, 90.00, 90.00 degrees
Sites, in units of the cell vectors:
Hf  0.000  0.000  0.000
Sc  0.000  0.000  0.525
Tc  0.500  0.500  0.772
Pd  0.500  0.500  0.263

=====

Entry 3:
DFT (PBE-GGA) results for a relaxed CeSm3Ho12 crystal.

Its energy relative to the elements is 0.031 eV per atom. For the final energy, the calculation gives -4.658 eV per atom. The value obtained for the total moment is 0.054 μB per atom.

Cell lengths 5.012, 5.012, 20.040 Å; angles 90.00, 90.00, 90.00 degrees
Sites, in units of the cell vectors:
Ce  0.000  0.000  0.000
Sm  0.000  0.000  0.248
Sm  0.000  0.000  0.500
Sm  0.000  0.000  0.752
Ho  0.000  0.500  0.123
Ho  0.000  0.500  0.374
Ho  0.000  0.500  0.626
Ho  0.000  0.500  0.877
Ho  0.500  0.000  0.123
Ho  0.500  0.000  0.374
Ho  0.500  0.000  0.626
Ho  0.500  0.000  0.877
Ho  0.500  0.500  0.000
Ho  0.500  0.500  0.250
Ho  0.500  0.500  0.500
Ho  0.500  0.500  0.750

=====

Entry 4:
DFT (PBE-GGA) results for a relaxed Tb6PbS4 crystal.

For the final energy, the calculation gives -5.950 eV per atom. The value obtained for the total moment is 0.000 μB per atom.

Cell lengths 6.866, 6.866, 20.217 Å; angles 90.00, 90.00, 146.27 degrees
Sites, in units of the cell vectors:
Tb  0.000  0.000  0.000
Tb  0.000  0.000  0.500
Tb  0.152  0.848  0.750
Tb  0.272  0.728  0.083
Tb  0.272  0.728  0.417
Tb  0.462  0.538  0.657
Tb  0.462  0.538  0.843
Tb  0.538  0.462  0.157
Tb  0.538  0.462  0.343
Tb  0.728  0.272  0.583
Tb  0.728  0.272  0.917
Tb  0.848  0.152  0.250
Pb  0.164  0.836  0.250
Pb  0.836  0.164  0.750
S  0.095  0.905  0.621
S  0.095  0.905  0.879
S  0.362  0.638  0.539
S  0.362  0.638  0.961
S  0.638  0.362  0.039
S  0.638  0.362  0.461
S  0.905  0.095  0.121
S  0.905  0.095  0.379

=====

Entry 5:
DFT (PBE-GGA) results for a relaxed Cs3PrGa2O6 crystal.

For the final energy, the calculation gives -5.542 eV per atom. The value obtained for the total moment is 0.000 μB per atom.

Cell lengths 6.393, 6.393, 7.882 Å; angles 90.00, 90.00, 120.00 degrees
Sites, in units of the cell vectors:
Cs  0.000  0.000  0.000
Cs  0.333  0.667  0.754
Cs  0.667  0.333  0.246
Pr  0.000  0.000  0.500
Ga  0.333  0.667  0.311
Ga  0.667  0.333  0.689
O  0.171  0.343  0.309
O  0.171  0.829  0.309
O  0.343  0.171  0.691
O  0.657  0.829  0.309
O  0.829  0.171  0.691
O  0.829  0.657  0.691

=====

Entry 6:
DFT (PBE-GGA) results for a relaxed Ac8Rh4Cl crystal.

For the final energy, the calculation gives -5.651 eV per atom. The value obtained for the total moment is 0.000 μB per atom.

Cell lengths 10.932, 10.932, 15.197 Å; angles 133.55, 133.55, 23.07 degrees
Sites, in units of the cell vectors:
Ac  0.000  0.000  0.000
Ac  0.008  0.008  0.742
Ac  0.309  0.309  0.664
Ac  0.319  0.319  0.405
Ac  0.352  0.352  0.044
Ac  0.618  0.618  0.317
Ac  0.703  0.703  0.088
Ac  0.967  0.967  0.357
Rh  0.336  0.336  0.226
Rh  0.507  0.507  0.873
Rh  0.813  0.813  0.530
Rh  0.986  0.986  0.183
Cl  0.790  0.790  0.806